1.
{
  "formula": "Zn2NCl",
  "functional": "PBE-GGA",
  "state": "optimized geometry",
  "lattice_angstrom": [[-2.980, -0.607, 3.004], [-3.723, 2.088, -0.229], [-3.587, -2.123, -0.946]],
  "species": ["Zn", "Zn", "Cl", "N"],
  "frac_coords": [[0.250, 0.250, 0.250], [0.750, 0.750, 0.750], [0.500, 0.500, 0.500], [0.000, 0.000, 0.000]],
  "dos_ef_per_ev_atom": 0.09,
  "raw_formation_energy_ev_per_atom": 0.811,
  "magmom_total_mub_per_atom": 0.00
}


2.
{
  "formula": "ZnN3Cl",
  "functional": "PBE-GGA",
  "state": "optimized geometry",
  "lattice_angstrom": [[4.055, 0.000, 0.000], [0.000, 4.055, 0.000], [0.000, 0.000, 4.055]],
  "species": ["Zn", "N", "N", "N", "Cl"],
  "frac_coords": [[0.000, 0.000, 0.000], [0.000, 0.000, 0.500], [0.500, 0.000, 0.000], [0.000, 0.500, 0.000], [0.500, 0.500, 0.500]],
  "dos_ef_per_ev_atom": 0.77,
  "raw_formation_energy_ev_per_atom": 2.411,
  "magmom_total_mub_per_atom": 1.13
}


3.
{
  "formula": "Zn4N2Cl3",
  "functional": "PBE-GGA",
  "state": "optimized geometry",
  "lattice_angstrom": [[-5.215, -2.113, 2.699], [5.808, 3.529, 5.812], [0.974, 8.866, 0.649]],
  "species": ["Cl", "Cl", "Cl", "Cl", "Cl", "Cl", "Zn", "Zn", "Zn", "Zn", "Zn", "Zn", "Zn", "Zn", "N", "N", "N", "N"],
  "frac_coords": [[0.916, 0.874, 0.379], [0.084, 0.126, 0.621], [0.416, 0.379, 0.874], [0.584, 0.621, 0.126], [0.250, 0.866, 0.134], [0.750, 0.134, 0.866], [0.653, 0.337, 0.204], [0.847, 0.796, 0.663], [0.162, 0.616, 0.087], [0.338, 0.913, 0.384], [0.347, 0.663, 0.796], [0.662, 0.087, 0.616], [0.838, 0.384, 0.913], [0.153, 0.204, 0.337], [0.957, 0.371, 0.167], [0.043, 0.629, 0.833], [0.457, 0.167, 0.371], [0.543, 0.833, 0.629]],
  "raw_formation_energy_ev_per_atom": -0.383,
  "magmom_total_mub_per_atom": 0.11
}